Compound: Cs3SnBr6
Source: Alexandria
Functional: GGA-PBE
Structure: optimized geometry

electronic total energy: -3.014 eV per atom
formation energy (no corrections): -1.35 eV per atom

a b c (Å): 10.0311 10.0311 10.0311
angles (deg): 90.35 90.35 90.35
With the nearest neighbours (Å) after each atom.
Atoms (fractional coordinates):
Cs1 0.0650 0.2319 0.5714  6 Br 3.54-3.86
Cs2 0.2319 0.5714 0.0650  6 Br 3.54-3.86
Cs3 0.4286 0.9350 0.7681  6 Br 3.54-3.86
Cs4 0.5714 0.0650 0.2319  6 Br 3.54-3.86
Cs5 0.7681 0.4286 0.9350  6 Br 3.54-3.86
Cs6 0.9350 0.7681 0.4286  6 Br 3.54-3.86
Sn1 0.0000 0.0000 0.0000  6 Br 3.05
Sn2 0.5000 0.5000 0.5000  6 Br 2.66
Br1 0.0778 0.9102 0.7203  1 Sn 3.05
Br2 0.0898 0.2797 0.9222  1 Sn 3.05
Br3 0.2440 0.5416 0.4467  1 Sn 2.66
Br4 0.2797 0.9222 0.0898  1 Sn 3.05
Br5 0.4467 0.2440 0.5416  1 Sn 2.66
Br6 0.4584 0.5533 0.7560  1 Sn 2.66
Br7 0.5416 0.4467 0.2440  1 Sn 2.66
Br8 0.5533 0.7560 0.4584  1 Sn 2.66
Br9 0.7203 0.0778 0.9102  1 Sn 3.05
Br10 0.7560 0.4584 0.5533  1 Sn 2.66
Br11 0.9102 0.7203 0.0778  1 Sn 3.05
Br12 0.9222 0.0898 0.2797  1 Sn 3.05